{"formula": "ScHgTe2", "functional": "GGA-PBEsol", "state": "optimized geometry", "lattice": [[3.404, -0.002, 0.000], [-0.842, 3.298, 0.000], [0.000, 0.000, 9.819]], "species": ["Te", "Te", "Sc", "Hg"], "fractional_positions": [[0.000, 0.000, 0.802], [0.000, 0.000, 0.198], [0.500, 0.500, 0.000], [0.500, 0.500, 0.500]], "e_tot_ev_per_cell": -16.5, "space_group": "No. 65"}

{"formula": "BeSiOF2", "functional": "GGA-PBEsol", "state": "optimized geometry", "lattice": [[-1.336, 1.929, 2.371], [-2.904, -2.752, 0.603], [2.305, -1.823, 2.782]], "species": ["Be", "F", "F", "Si", "O"], "fractional_positions": [[0.500, 0.500, 0.500], [0.000, 0.500, 0.000], [0.000, 0.000, 0.500], [0.000, 0.000, 0.000], [0.500, 0.000, 0.000]], "e_tot_ev_per_cell": -24.3, "space_group": "No. 123"}

{"formula": "Te3IrRh", "functional": "GGA-PBEsol", "state": "optimized geometry", "lattice": [[-3.451, 3.713, 0.603], [-3.032, -3.230, 2.537], [2.227, 1.357, 4.388]], "species": ["Te", "Te", "Te", "Rh", "Ir"], "fractional_positions": [[0.000, 0.500, 0.000], [0.500, 0.000, 0.000], [0.000, 0.000, 0.500], [0.500, 0.500, 0.500], [0.000, 0.000, 0.000]], "e_tot_ev_per_cell": -23.1, "space_group": "No. 221"}

{"formula": "Rb2Cr4CuH4O16", "functional": "GGA-PBEsol", "state": "optimized geometry", "lattice": [[7.800, 0.586, -0.268], [-0.615, 7.368, 0.270], [-3.957, -0.883, 6.645]], "species": ["O", "O", "O", "O", "O", "O", "O", "O", "O", "O", "O", "O", "O", "O", "O", "O", "H", "H", "H", "H", "Rb", "Rb", "Cr", "Cr", "Cr", "Cr", "Cu"], "fractional_positions": [[0.676, 0.031, 0.875], [0.215, 0.805, 0.647], [0.226, 0.623, 0.015], [0.132, 0.056, 0.311], [0.868, 0.944, 0.689], [0.860, 0.425, 0.655], [0.324, 0.969, 0.125], [0.149, 0.284, 0.059], [0.140, 0.575, 0.345], [0.491, 0.231, 0.441], [0.785, 0.195, 0.353], [0.851, 0.716, 0.941], [0.415, 0.500, 0.734], [0.585, 0.500, 0.266], [0.774, 0.377, 0.985], [0.509, 0.769, 0.559], [0.361, 0.568, 0.114], [0.245, 0.757, 0.053], [0.639, 0.432, 0.886], [0.755, 0.243, 0.947], [0.201, 0.179, 0.725], [0.799, 0.821, 0.275], [0.731, 0.869, 0.769], [0.313, 0.658, 0.571], [0.687, 0.342, 0.429], [0.269, 0.131, 0.231], [0.000, 0.500, 0.000]], "e_tot_ev_per_cell": -186.2, "space_group": "No. 2"}

{"formula": "MgWCl2", "functional": "GGA-PBEsol", "state": "optimized geometry", "lattice": [[3.065, 0.000, 0.000], [1.532, 2.654, 0.000], [1.532, 0.885, 9.695]], "species": ["Mg", "W", "Cl", "Cl"], "fractional_positions": [[0.500, 0.500, 0.500], [0.000, 0.000, 0.000], [0.727, 0.727, 0.820], [0.273, 0.273, 0.180]], "polymorph_energy_mev_per_atom": 49, "space_group": "No. 166"}

{"formula": "BeNi2W", "functional": "GGA-PBEsol", "state": "optimized geometry", "lattice": [[2.575, 0.000, 0.000], [-1.288, 4.133, 0.026], [0.000, -0.873, 4.273]], "species": ["Ni", "Ni", "Be", "W"], "fractional_positions": [[0.745, 0.491, 0.252], [0.994, 0.988, 0.969], [0.260, 0.521, 0.803], [0.500, 0.000, 0.477]], "delta_e_f_ev_per_atom": 0.010, "space_group": "No. 8"}

{"formula": "AlRe2", "functional": "GGA-PBEsol", "state": "optimized geometry", "lattice": [[2.829, 0.000, 0.000], [-1.414, 5.217, 0.001], [0.000, -1.573, 5.864]], "species": ["Al", "Al", "Re", "Re", "Re", "Re"], "fractional_positions": [[0.357, 0.713, 0.959], [0.643, 0.287, 0.041], [0.689, 0.377, 0.629], [0.025, 0.051, 0.304], [0.311, 0.623, 0.371], [0.975, 0.949, 0.696]], "delta_e_f_ev_per_atom": -0.122, "space_group": "No. 12"}

{"formula": "MoRuPt", "functional": "GGA-PBEsol", "state": "optimized geometry", "lattice": [[2.738, 0.000, 0.000], [0.000, 2.738, 0.000], [-1.369, -1.369, 5.798]], "species": ["Ru", "Pt", "Mo"], "fractional_positions": [[0.340, 0.340, 0.680], [0.666, 0.666, 0.332], [0.994, 0.994, 0.988]], "polymorph_energy_mev_per_atom": 13, "delta_e_f_ev_per_atom": -0.127, "space_group": "No. 107"}

Q: What is the formula in the sixth record?
A: BeNi2W